Mn2Tl2I7: optimized geometry, PBE-GGA.

Values from the calculation:
For the relative energy among the computed polymorphs, the calculation gives 2 meV per atom. Its space group is C2/m, No. 12.

Unit cell a=6.961 b=8.992 c=8.992 alpha=102.87 beta=95.89 gamma=95.89
Sites, in units of the cell vectors:
Mn1 0.417 0.228 0.228
Mn2 0.583 0.772 0.772
Tl1 0.000 0.298 0.702
Tl2 0.000 0.702 0.298
I1 0.757 0.915 0.589
I2 0.243 0.411 0.085
I3 0.243 0.085 0.411
I4 0.757 0.589 0.915
I5 0.500 0.000 0.000
I6 0.260 0.612 0.612
I7 0.740 0.388 0.388

---

MnTl3I7: optimized geometry, PBE-GGA.

Values from the calculation:
Its space group is Cm, No. 8.

Unit cell a=8.464 b=8.464 c=8.231 alpha=65.61 beta=65.61 gamma=75.91
Sites, in units of the cell vectors:
Mn1 0.034 0.034 0.990
Tl1 0.796 0.196 0.493
Tl2 0.526 0.526 0.927
Tl3 0.196 0.796 0.493
I1 0.178 0.178 0.145
I2 0.700 0.067 0.213
I3 0.970 0.331 0.722
I4 0.067 0.700 0.213
I5 0.511 0.511 0.516
I6 0.331 0.970 0.722
I7 0.816 0.816 0.815

---

How do the records compare in total magnetization? In the order shown, they have 9.0; 3.5 μB/f.u..
How do the records compare in E_form (uncorrected)? In the order shown, they have -0.429; -0.418 eV per atom.